This record from the Open Quantum Materials Database describes crystalline ZrInAgTe2S at its relaxed geometry. The functional is PBE-GGA.

Computed properties:
SG = Cmcm

Lattice parameters (Å, degrees): 7.775 7.775 10.305 90.00 90.00 149.39
Fractional coordinates of all 12 atoms:
Ag 0.031 0.969 0.250
Ag 0.969 0.031 0.750
In 0.767 0.233 0.250
In 0.233 0.767 0.750
S 0.434 0.566 0.250
S 0.566 0.434 0.750
Te 0.141 0.859 0.038
Te 0.141 0.859 0.462
Te 0.859 0.141 0.538
Te 0.859 0.141 0.962
Zr 0.500 0.500 0.000
Zr 0.500 0.500 0.500



This record from the Open Quantum Materials Database describes crystalline InAgWS3 at its relaxed geometry. The functional is PBE-GGA.

Computed properties:
SG = Cmcm

Lattice parameters (Å, degrees): 8.361 8.361 9.383 90.00 90.00 22.90
Fractional coordinates of all 12 atoms:
Ag 0.695 0.695 0.250
Ag 0.305 0.305 0.750
In 0.334 0.334 0.250
In 0.666 0.666 0.750
S 0.607 0.607 0.030
S 0.967 0.967 0.250
S 0.607 0.607 0.470
S 0.393 0.393 0.530
S 0.033 0.033 0.750
S 0.393 0.393 0.970
W 0.000 0.000 0.000
W 0.000 0.000 0.500



This record from the Open Quantum Materials Database describes crystalline InAg2WS6 at its relaxed geometry. The functional is PBE-GGA.

Computed properties:
SG = Fm-3m

Lattice parameters (Å, degrees): 6.907 6.907 6.907 120.00 120.00 90.00
Fractional coordinates of all 10 atoms:
Ag 0.750 0.250 0.500
Ag 0.250 0.750 0.500
In 0.500 0.500 0.000
S 0.241 0.241 0.000
S 0.759 0.241 0.000
S 0.241 0.759 0.000
S 0.759 0.759 0.000
S 0.241 0.241 0.483
S 0.759 0.759 0.517
W 0.000 0.000 0.000



This record from the Open Quantum Materials Database describes crystalline ZrInAgS3 at its relaxed geometry. The functional is PBE-GGA.

Computed properties:
energy relative to the lowest polymorph listed for this composition = 4.4 meV per atom
SG = Pnma

Lattice parameters (Å, degrees): 3.703 12.017 12.302 90.00 90.00 90.00
Fractional coordinates of all 24 atoms:
Ag 0.250 0.887 0.193
Ag 0.750 0.387 0.307
Ag 0.250 0.613 0.693
Ag 0.750 0.113 0.807
In 0.750 0.071 0.177
In 0.250 0.571 0.323
In 0.750 0.429 0.677
In 0.250 0.929 0.823
S 0.250 0.799 0.002
S 0.750 0.445 0.100
S 0.750 0.699 0.221
S 0.250 0.199 0.279
S 0.250 0.945 0.400
S 0.750 0.299 0.498
S 0.250 0.701 0.502
S 0.750 0.055 0.600
S 0.750 0.801 0.721
S 0.250 0.301 0.779
S 0.250 0.555 0.900
S 0.750 0.201 0.998
Zr 0.750 0.647 0.022
Zr 0.250 0.147 0.478
Zr 0.750 0.853 0.522
Zr 0.250 0.353 0.978



Number 1: uncorrected energy -4.67 eV/atom. Number 2: uncorrected energy -5.44 eV/atom. Number 3: uncorrected energy -4.32 eV/atom. Number 4: uncorrected energy -5.24 eV/atom.